No. 1
This record from Alexandria via LeMat-Bulk describes a geometry-optimized SrCaY4S8 structure. The functional is GGA-PBE.

Total energy = -6.494 eV per atom

abc: 8.1553 8.1553 8.2608
angles: 60.42 60.42 60.00
Closest atoms and distances in Å follow each position.
Atoms (fractional coordinates):
Y  0.0023  0.4921  0.5033  6 S 2.70-2.85
S  0.2306  0.7475  0.2745  3 Y 2.62-2.81
Y  0.0023  0.0023  0.5033  6 S 2.70-2.85
Y  0.4921  0.0023  0.5033  6 S 2.70-2.85
S  0.7792  0.2507  0.7194  1 Ca 2.69, 2 Y 2.70, 1 Sr 2.91
Ca  0.3766  0.3766  0.8703  4 S 2.69-2.78
Sr  0.0010  0.0010  0.9970  6 S 2.91-2.95
S  0.7567  0.7567  0.7300  4 Y 2.72-2.85
S  0.2507  0.7792  0.7194  1 Ca 2.69, 2 Y 2.70, 1 Sr 2.91
Y  0.6229  0.6229  0.1313  4 S 2.62-2.72
S  0.7475  0.2306  0.2745  3 Y 2.62-2.81
S  0.7475  0.7475  0.2745  3 Y 2.62-2.81
S  0.2507  0.2507  0.7194  1 Ca 2.69, 2 Y 2.70, 1 Sr 2.91
S  0.2400  0.2400  0.2800  3 Y 2.76, 1 Ca 2.78

***

No. 2
This record from Alexandria via LeMat-Bulk describes a geometry-optimized Sm8ZnIr2 structure. The functional is GGA-PBE.

Formation energy = -278 meV per atom

abc: 5.8627 7.8219 7.8219
angles: 112.98 97.39 97.39
Closest atoms and distances in Å follow each position.
Atoms (fractional coordinates):
Sm  0.5937  0.0734  0.3354  2 Ir 2.88-2.90
Sm  0.5937  0.3354  0.0734  2 Ir 2.88-2.90
Sm  0.9944  0.7598  0.2423  2 Ir 3.06-3.08, 1 Zn 3.18
Ir  0.4930  0.3132  0.6918  8 Sm 2.88-3.09
Sm  0.3872  0.9333  0.6702  2 Ir 2.89
Sm  0.9944  0.2423  0.7598  2 Ir 3.06-3.08, 1 Zn 3.18
Sm  0.7950  0.6334  0.6334  2 Ir 3.09, 1 Zn 3.21
Zn  0.0712  0.0015  0.0015  6 Sm 3.18-3.29
Sm  0.3872  0.6702  0.9333  2 Ir 2.89
Ir  0.4930  0.6918  0.3132  8 Sm 2.88-3.09
Sm  0.1970  0.3796  0.3796  2 Ir 3.06, 1 Zn 3.18

***

Number 1: DOS at the Fermi energy 0.000 states/eV per cell, volume 391.0 Å³/cell. Number 2: DOS at the Fermi energy 13.785 states/eV per cell, volume 321.1 Å³/cell.